Entry 1:
A plane-wave DFT calculation with PBE-GGA was carried out for a relaxed BeCo3 crystal.

Output
The uncorrected energy comes out at -6.265 eV/atom. Its energy relative to the elements is -4 meV/atom.

Geometry as CIF:
```
data_BeCo3
_symmetry_space_group_name_H-M 'P m -3 n'
_symmetry_Int_Tables_number 223
_symmetry_space_group_name_Hall '-P 4n 2 3'
_cell_length_a 4.348
_cell_length_b 4.348
_cell_length_c 4.348
_cell_angle_alpha 90.00
_cell_angle_beta 90.00
_cell_angle_gamma 90.00
loop_
_atom_site_label
_atom_site_type_symbol
_atom_site_fract_x
_atom_site_fract_y
_atom_site_fract_z
Be1 Be 0.000 0.000 0.000
Co1 Co 0.000 0.250 0.500
```

Entry 2:
A plane-wave DFT calculation with PBE-GGA was carried out for a relaxed Be3Co4 crystal.

Output
The uncorrected energy comes out at -5.837 eV/atom. Its energy relative to the elements is -180 meV/atom. For the relative energy among the computed polymorphs, the calculation gives 0 meV per atom.

Geometry as CIF:
```
data_Be3Co4
_symmetry_space_group_name_H-M 'I 4/m m m'
_symmetry_Int_Tables_number 139
_symmetry_space_group_name_Hall '-I 4 2'
_cell_length_a 2.595
_cell_length_b 2.595
_cell_length_c 19.190
_cell_angle_alpha 90.00
_cell_angle_beta 90.00
_cell_angle_gamma 90.00
loop_
_atom_site_label
_atom_site_type_symbol
_atom_site_fract_x
_atom_site_fract_y
_atom_site_fract_z
Be1 Be 0.000 0.000 0.000
Be2 Be 0.000 0.000 0.281
Co1 Co 0.000 0.000 0.151
Co2 Co 0.000 0.000 0.430
```

Entry 3:
A plane-wave DFT calculation with PBE-GGA was carried out for a relaxed BeCo crystal.

Output
The uncorrected energy comes out at -5.180 eV/atom. Its energy relative to the elements is 236 meV/atom.

Geometry as CIF:
```
data_BeCo
_symmetry_space_group_name_H-M 'P 42/m n m'
_symmetry_Int_Tables_number 136
_symmetry_space_group_name_Hall '-P 4n 2n'
_cell_length_a 4.275
_cell_length_b 4.275
_cell_length_c 4.222
_cell_angle_alpha 90.00
_cell_angle_beta 90.00
_cell_angle_gamma 90.00
loop_
_atom_site_label
_atom_site_type_symbol
_atom_site_fract_x
_atom_site_fract_y
_atom_site_fract_z
Be1 Be 0.193 0.193 0.000
Co1 Co 0.199 0.199 0.500
```

Entry 4:
A plane-wave DFT calculation with PBE-GGA was carried out for a relaxed BeCo7 crystal.

Output
The uncorrected energy comes out at -6.677 eV/atom. Its energy relative to the elements is 6 meV/atom.

Geometry as CIF:
```
data_BeCo7
_symmetry_space_group_name_H-M 'F m -3 m'
_symmetry_Int_Tables_number 225
_symmetry_space_group_name_Hall '-F 4 2 3'
_cell_length_a 6.969
_cell_length_b 6.969
_cell_length_c 6.969
_cell_angle_alpha 90.00
_cell_angle_beta 90.00
_cell_angle_gamma 90.00
loop_
_atom_site_label
_atom_site_type_symbol
_atom_site_fract_x
_atom_site_fract_y
_atom_site_fract_z
Be1 Be 0.000 0.000 0.000
Co1 Co 0.000 0.000 0.500
Co2 Co 0.000 0.250 0.250
```

Entry 5:
A plane-wave DFT calculation with PBE-GGA was carried out for a relaxed BeCo crystal.

Output
The uncorrected energy comes out at -5.626 eV/atom. Its energy relative to the elements is -210 meV/atom.

Geometry as CIF:
```
data_BeCo
_symmetry_space_group_name_H-M 'P 1 21/m 1'
_symmetry_Int_Tables_number 11
_symmetry_space_group_name_Hall '-P 2yb'
_cell_length_a 2.480
_cell_length_b 3.536
_cell_length_c 4.246
_cell_angle_alpha 90.00
_cell_angle_beta 106.95
_cell_angle_gamma 90.00
loop_
_atom_site_label
_atom_site_type_symbol
_atom_site_fract_x
_atom_site_fract_y
_atom_site_fract_z
Be1 Be 0.075 0.250 0.151
Co1 Co 0.343 0.250 0.686
```

Entry 6:
A plane-wave DFT calculation with PBE-GGA was carried out for a relaxed BeCo4 crystal.

Output
The uncorrected energy comes out at -5.874 eV/atom. Its energy relative to the elements is 556 meV/atom. For the relative energy among the computed polymorphs, the calculation gives 599 meV per atom.

Geometry as CIF:
```
data_BeCo4
_symmetry_space_group_name_H-M 'P m -3 m'
_symmetry_Int_Tables_number 221
_symmetry_space_group_name_Hall '-P 4 2 3'
_cell_length_a 3.814
_cell_length_b 3.814
_cell_length_c 3.814
_cell_angle_alpha 90.00
_cell_angle_beta 90.00
_cell_angle_gamma 90.00
loop_
_atom_site_label
_atom_site_type_symbol
_atom_site_fract_x
_atom_site_fract_y
_atom_site_fract_z
Be1 Be 0.000 0.000 0.000
Co1 Co 0.000 0.000 0.500
Co2 Co 0.500 0.500 0.500
```